ReSb2Pt, optimized geometry, DFT PBE-GGA; D(E_F) = 0.627 states/eV per atom; crystal system = tetragonal; density = 13.84 g cm⁻³; raw formation energy = 0.431 eV/atom
1.0
4.9226 0.0072 -0.0155
0.8915 4.8413 0.0155
-2.8946 -2.4392 3.1471
Re Sb Pt
1 2 1
direct
0.2500 0.7500 0.5000
0.5000 0.5000 0.0000
0.0000 0.0000 0.0000
0.7500 0.2500 0.5000

CsTi2SbO8, optimized geometry, DFT PBE-GGA; D(E_F) = 0.667 states/eV per atom; crystal system = trigonal; density = 3.27 g cm⁻³; raw formation energy = -1.947 eV/atom
1.0
5.7670 0.0000 0.0000
-2.8835 4.9944 0.0000
0.0000 0.0000 8.4408
O Ti Cs Sb
8 2 1 1
direct
0.1154 0.3163 0.6386
0.8846 0.6837 0.3614
0.2010 0.8846 0.6386
0.3163 0.2010 0.3614
0.6667 0.3333 0.0917
0.7990 0.1154 0.3614
0.6837 0.7990 0.6386
0.3333 0.6667 0.9083
0.3333 0.6667 0.6979
0.6667 0.3333 0.3021
0.0000 0.0000 0.0000
0.0000 0.0000 0.5000

The highest density belongs to which entry?
ReSb2Pt